{"formula": "BeSb2Ir", "functional": "GGA-PBE", "state": "relaxed", "e_form_raw_ev_per_atom": -0.038, "space_group": "P4mm, No. 99", "volume_a3_per_cell": 79, "lattice": [[3.123, 0.000, 0.000], [0.000, 3.123, 0.000], [0.000, 0.000, 8.098]], "species": ["Be", "Sb", "Sb", "Ir"], "fractional_positions": [[0.000, 0.000, 0.000], [0.000, 0.000, 0.349], [0.500, 0.500, 0.769], [0.500, 0.500, 0.111]]}